Entry from Alexandria via LeMat-Bulk: a relaxed structure of Li5FeF8 (PBE with a Hubbard U).

The structure in POSCAR format:
```
Li5FeF8
1.0
-4.075 -2.688 -1.553
3.633 -3.135 1.791
-2.358 0.403 5.489
F Fe Li
8 1 5
Direct
0.733 0.267 0.500
0.275 0.275 0.739
0.725 0.725 0.739
0.725 0.725 0.261
0.275 0.275 0.261
0.267 0.733 0.000
0.267 0.733 0.500
0.733 0.267 0.000
0.500 0.500 0.500
0.000 0.500 0.775
0.500 0.500 0.000
0.500 0.000 0.775
0.000 0.500 0.225
0.500 0.000 0.225
```

Computed properties:
The space group is No. 65. The total energy is -4.947 eV/atom. Its total moment is 5.0 μB/f.u.